VASP calculation (PBE+U) on crystalline FeSeO2F at its relaxed geometry.

The structure belongs to space group P4/mmm (No. 123); the cell edges are 3.924, 3.924 and 4.488 Å and the angles 90.00°, 90.00° and 90.00°. The inequivalent atoms are Fe at (0.000, 0.000, 0.000), Se at (0.500, 0.500, 0.500), O at (0.000, 0.500, 0.500) and F at (0.500, 0.500, 0.000).

The magnetization comes out at 0.858 μB/atom. For the total energy, the calculation gives -4.505 eV/atom. The crystal system is tetragonal.